[1]
{"formula": "Co2SiP4O14", "functional": "PBE with a Hubbard U", "state": "relaxed", "m_tot_mub_per_fu": 6.00, "e_tot_ev_per_cell": -299.893, "lattice_angstrom": [[0.983, 3.673, -3.073], [-3.247, -6.486, -4.902], [-9.998, 5.892, 3.842]], "species": ["P", "P", "P", "P", "P", "P", "P", "P", "O", "O", "O", "O", "O", "O", "O", "O", "O", "O", "O", "O", "O", "O", "O", "O", "O", "O", "O", "O", "O", "O", "O", "O", "O", "O", "O", "O", "Co", "Co", "Co", "Co", "Si", "Si"], "fractional_positions": [[0.501, 0.754, 0.369], [0.499, 0.246, 0.631], [0.748, 0.246, 0.131], [0.252, 0.754, 0.869], [0.963, 0.272, 0.913], [0.037, 0.728, 0.087], [0.309, 0.272, 0.413], [0.691, 0.728, 0.587], [0.595, 0.301, 0.365], [0.870, 0.182, 0.013], [0.093, 0.133, 0.326], [0.191, 0.416, 0.454], [0.323, 0.918, 0.829], [0.469, 0.279, 0.113], [0.775, 0.584, 0.046], [0.405, 0.699, 0.635], [0.397, 0.385, 0.703], [0.189, 0.721, 0.387], [0.040, 0.133, 0.826], [0.960, 0.867, 0.174], [0.811, 0.279, 0.613], [0.809, 0.584, 0.546], [0.706, 0.301, 0.865], [0.907, 0.867, 0.674], [0.225, 0.416, 0.954], [0.294, 0.699, 0.135], [0.405, 0.082, 0.671], [0.595, 0.918, 0.329], [0.677, 0.082, 0.171], [0.689, 0.818, 0.487], [0.531, 0.721, 0.887], [0.988, 0.385, 0.203], [0.603, 0.615, 0.297], [0.012, 0.615, 0.797], [0.130, 0.818, 0.987], [0.311, 0.182, 0.513], [0.608, 0.507, 0.870], [0.899, 0.507, 0.370], [0.101, 0.493, 0.630], [0.392, 0.493, 0.130], [0.829, 0.000, 0.250], [0.171, 0.000, 0.750]]}

***

[2]
{"formula": "CoH9C13N7O2", "functional": "PBE with a Hubbard U", "state": "relaxed", "m_tot_mub_per_fu": 3.00, "e_tot_ev_per_cell": -450.614, "lattice_angstrom": [[-7.572, -1.735, -1.542], [-2.301, -6.534, 3.838], [0.597, 9.354, 7.758]], "species": ["C", "C", "C", "C", "C", "C", "C", "C", "C", "C", "C", "C", "C", "C", "C", "C", "C", "C", "C", "C", "C", "C", "C", "C", "C", "C", "O", "O", "O", "O", "H", "H", "H", "H", "H", "H", "H", "H", "H", "H", "H", "H", "H", "H", "H", "H", "H", "H", "N", "N", "N", "N", "N", "N", "N", "N", "N", "N", "N", "N", "N", "N", "Co", "Co"], "fractional_positions": [[0.602, 0.602, 0.798], [0.577, 0.423, 0.750], [0.398, 0.398, 0.202], [0.412, 0.983, 0.111], [0.236, 0.316, 0.385], [0.684, 0.764, 0.115], [0.053, 0.769, 0.018], [0.017, 0.588, 0.389], [0.752, 0.442, 0.294], [0.588, 0.017, 0.889], [0.398, 0.398, 0.702], [0.423, 0.577, 0.250], [0.602, 0.602, 0.298], [0.558, 0.248, 0.206], [0.769, 0.053, 0.518], [0.207, 0.511, 0.422], [0.947, 0.231, 0.982], [0.983, 0.412, 0.611], [0.316, 0.236, 0.885], [0.489, 0.793, 0.078], [0.442, 0.752, 0.794], [0.511, 0.207, 0.922], [0.793, 0.489, 0.578], [0.248, 0.558, 0.706], [0.231, 0.947, 0.482], [0.764, 0.684, 0.615], [0.350, 0.956, 0.577], [0.650, 0.044, 0.423], [0.956, 0.350, 0.077], [0.044, 0.650, 0.923], [0.633, 0.796, 0.606], [0.586, 0.312, 0.966], [0.414, 0.688, 0.034], [0.742, 0.621, 0.836], [0.796, 0.633, 0.106], [0.621, 0.742, 0.336], [0.067, 0.268, 0.602], [0.688, 0.414, 0.534], [0.258, 0.379, 0.164], [0.301, 0.699, 0.250], [0.268, 0.067, 0.102], [0.312, 0.586, 0.466], [0.933, 0.732, 0.398], [0.379, 0.258, 0.664], [0.204, 0.367, 0.894], [0.699, 0.301, 0.750], [0.367, 0.204, 0.394], [0.732, 0.933, 0.898], [0.060, 0.558, 0.664], [0.113, 0.932, 0.390], [0.887, 0.068, 0.610], [0.269, 0.731, 0.750], [0.274, 0.074, 0.832], [0.558, 0.060, 0.164], [0.068, 0.887, 0.110], [0.940, 0.442, 0.336], [0.731, 0.269, 0.250], [0.074, 0.274, 0.332], [0.926, 0.726, 0.668], [0.726, 0.926, 0.168], [0.442, 0.940, 0.836], [0.932, 0.113, 0.890], [0.037, 0.963, 0.750], [0.963, 0.037, 0.250]]}